Density functional theory data (PBE-GGA) for a relaxed structure of TaTe2Ru.

The structure belongs to space group R3m (No. 160, hexagonal axes); the cell edges are 3.3381, 3.3381 and 30.3868 Å and the angles 90.00°, 90.00° and 120.00°. The inequivalent atoms are Ta at (0.0000, 0.0000, 0.0000), Te at (0.0000, 0.0000, 0.5385), Te at (0.0000, 0.0000, 0.7385) and Ru at (0.0000, 0.0000, 0.2781).

For the uncorrected formation energy, the calculation gives 42 meV/atom. The value obtained for the magnetization is 0.00 μB/atom. The density of states at the Fermi level is 6.69 states/eV/cell. The excess energy over the best structure of this formula in the dataset is 4.673 kcal/mol of atoms.